Density functional theory data (GGA-PBE) for a relaxed structure of MgZnBAs2.

abc: 4.4463 4.4865 4.4463
angles: 90.00 90.00 90.00
With the nearest neighbours (Å) after each atom.
Element x y z (fractional)
Zn 0.5000 0.5000 0.5000  4 Mg 3.14, 8 As 3.16
Mg 0.0000 0.5000 0.0000  2 B 2.24
As 0.5000 0.0000 0.0000  2 B 2.22
As 0.0000 0.0000 0.5000  2 B 2.22
B 0.0000 0.0000 0.0000  4 As 2.22, 2 Mg 2.24

Calculated values
The total moment comes out at 0.00 μB per formula unit. Its formation energy is 0.53 eV/atom. The symmetry is P4/mmm.


Density functional theory data (GGA-PBE) for a relaxed structure of Pu8Pt3Au2.

abc: 5.3026 7.7212 7.7212
angles: 86.70 76.47 76.47
With the nearest neighbours (Å) after each atom.
Element x y z (fractional)
Pt 0.0000 0.7478 0.2522  8 Pu 2.97-3.21
Pu 0.2135 0.5680 0.5680  5 Pu 2.93-3.19, 3 Au 2.95-3.18, 2 Pt 3.05
Pt 0.5000 0.0000 0.0000  8 Pu 2.93-3.09, 2 Au 3.07
Pu 0.6281 0.6071 0.0941  3 Pt 2.97-3.21, 3 Pu 2.99-3.19, 2 Au 3.00-3.25
Pu 0.6281 0.0941 0.6071  3 Pt 2.97-3.21, 3 Pu 2.99-3.19, 2 Au 3.00-3.25
Pu 0.9256 0.1340 0.1340  2 Pu 2.85-3.19, 4 Pt 2.93-3.09, 1 Au 2.94
Au 0.3598 0.2876 0.2876  9 Pu 2.94-3.29, 1 Pt 3.07
Pt 0.0000 0.2522 0.7478  8 Pu 2.97-3.21
Au 0.6402 0.7124 0.7124  9 Pu 2.94-3.29, 1 Pt 3.07
Pu 0.7865 0.4320 0.4320  5 Pu 2.93-3.19, 3 Au 2.95-3.18, 2 Pt 3.05
Pu 0.3719 0.9059 0.3929  3 Pt 2.97-3.21, 3 Pu 2.99-3.19, 2 Au 3.00-3.25
Pu 0.0744 0.8660 0.8660  2 Pu 2.85-3.19, 4 Pt 2.93-3.09, 1 Au 2.94
Pu 0.3719 0.3929 0.9059  3 Pt 2.97-3.21, 3 Pu 2.99-3.19, 2 Au 3.00-3.25

Calculated values
The total moment comes out at 0.66 μB per formula unit. Its formation energy is -0.34 eV/atom. The symmetry is C2/m.


Density functional theory data (GGA-PBE) for a relaxed structure of AcTl2S4.

abc: 6.0461 6.0461 6.7097
angles: 90.00 90.00 90.00
With the nearest neighbours (Å) after each atom.
Element x y z (fractional)
S 0.7348 0.2652 0.7358  2 Tl 2.66, 1 Ac 2.88
S 0.7348 0.7348 0.2642  2 Tl 2.66, 1 Ac 2.88
Tl 0.0000 0.5000 0.5000  4 S 2.66
Ac 0.0000 0.0000 0.0000  4 S 2.88
Tl 0.5000 0.0000 0.5000  4 S 2.66
S 0.2652 0.7348 0.7358  2 Tl 2.66, 1 Ac 2.88
S 0.2652 0.2652 0.2642  2 Tl 2.66, 1 Ac 2.88

Calculated values
The total moment comes out at 0.00 μB per formula unit. The value obtained for the uncorrected formation energy is -14.5 kcal/mol of atoms. The symmetry is P-42m.


Density functional theory data (GGA-PBE) for a relaxed structure of VGeCl2.

abc: 6.4679 6.4679 6.9358
angles: 62.21 62.21 90.00
With the nearest neighbours (Å) after each atom.
Element x y z (fractional)
V 0.5000 0.5000 0.0000  4 Cl 2.35
Cl 0.2054 0.6250 0.2500  2 V 2.35
Cl 0.8750 0.7946 0.7500  2 V 2.35
Cl 0.5446 0.1250 0.2500  2 V 2.35
Ge 0.0000 0.0000 0.0000  4 Cl 2.98
Cl 0.3750 0.4554 0.7500  2 V 2.35
V 0.2500 0.7500 0.5000  4 Cl 2.35
Ge 0.7500 0.2500 0.5000  4 Cl 2.98

Calculated values
The total moment comes out at 2.68 μB per formula unit. The value obtained for the uncorrected formation energy is 2.8 kcal/mol of atoms. The symmetry is I-42d.


Density functional theory data (GGA-PBE) for a relaxed structure of LiTb5Cu4.

abc: 3.5040 3.5040 17.8502
angles: 90.00 90.00 90.00
With the nearest neighbours (Å) after each atom.
Element x y z (fractional)
Li 0.0000 0.0000 0.0000  8 Tb 3.19, 4 Li 3.50
Tb 0.5000 0.5000 0.5000  8 Cu 3.02
Tb 0.5000 0.5000 0.6952  8 Cu 3.03-3.06
Cu 0.0000 0.0000 0.7960  8 Tb 2.97-3.06
Cu 0.0000 0.0000 0.4029  8 Tb 3.02-3.03
Cu 0.0000 0.0000 0.2040  8 Tb 2.97-3.06
Cu 0.0000 0.0000 0.5971  8 Tb 3.02-3.03
Tb 0.5000 0.5000 0.8874  4 Cu 2.97, 4 Li 3.19
Tb 0.5000 0.5000 0.1126  4 Cu 2.97, 4 Li 3.19
Tb 0.5000 0.5000 0.3048  8 Cu 3.03-3.06

Calculated values
The total moment comes out at 0.00 μB per formula unit. Its formation energy is -0.17 eV/atom. The symmetry is P4/mmm.


Density functional theory data (GGA-PBE) for a relaxed structure of UNiOs.

abc: 2.7692 4.4991 4.4991
angles: 120.00 90.00 90.00
With the nearest neighbours (Å) after each atom.
Element x y z (fractional)
U 0.9960 0.0000 0.0000  3 Ni 2.75, 3 Os 2.76, 2 U 2.77
Os 0.3314 0.3333 0.6667  3 U 2.76, 3 Ni 2.76, 2 Os 2.77
Ni 0.6726 0.6667 0.3333  3 U 2.75, 3 Os 2.76, 2 Ni 2.77

Calculated values
The total moment comes out at 0.12 μB per formula unit. Its formation energy is 0.12 eV/atom. The symmetry is P3m1.


Density functional theory data (GGA-PBE) for a relaxed structure of NaAlZnGe2.

abc: 4.3407 4.3407 6.1856
angles: 110.54 110.54 90.00
With the nearest neighbours (Å) after each atom.
Element x y z (fractional)
Al 0.7500 0.2500 0.5000  4 Ge 2.60
Na 0.0000 0.0000 0.0000  8 Ge 3.32, 4 Al 3.45, 4 Zn 3.45
Zn 0.2500 0.7500 0.5000  4 Ge 2.60
Ge 0.6170 0.6170 0.2341  1 Ge 2.51, 2 Zn 2.60, 2 Al 2.60
Ge 0.3830 0.3830 0.7659  1 Ge 2.51, 2 Al 2.60, 2 Zn 2.60

Calculated values
The total moment comes out at 0.00 μB per formula unit. Its formation energy is -0.09 eV/atom. The symmetry is I-4m2.


Density functional theory data (GGA-PBE) for a relaxed structure of RbPa3Cr4N12.

abc: 7.2050 7.2050 7.2050
angles: 103.79 103.79 103.79
With the nearest neighbours (Å) after each atom.
Element x y z (fractional)
N 0.8960 0.5000 0.1040  1 Cr 1.78
Cr 0.5000 0.9473 0.0527  3 N 1.69-1.78
N 0.6521 0.5000 0.3479  1 Cr 1.72
N 0.7675 0.0257 0.6144  1 Cr 1.69
Pa 0.5539 0.4461 0.0000  6 N 2.21-2.34
N 0.0257 0.6144 0.7675  1 Cr 1.69
Cr 0.9473 0.0527 0.5000  3 N 1.69-1.78
N 0.5000 0.1040 0.8960  1 Cr 1.78
N 0.2325 0.3856 0.9743  1 Cr 1.69
Pa 0.4461 0.0000 0.5539  6 N 2.21-2.34
Cr 0.0527 0.5000 0.9473  3 N 1.69-1.78
N 0.3479 0.6521 0.5000  1 Cr 1.72
N 0.3856 0.9743 0.2325  1 Cr 1.69
Rb 0.0000 0.0000 0.0000  6 N 2.96
Pa 0.0000 0.5539 0.4461  6 N 2.21-2.34
N 0.5000 0.3479 0.6521  1 Cr 1.72
N 0.6144 0.7675 0.0257  1 Cr 1.69
Cr 0.5000 0.5000 0.5000  3 N 1.72
N 0.1040 0.8960 0.5000  1 Cr 1.78
N 0.9743 0.2325 0.3856  1 Cr 1.69

Calculated values
The total moment comes out at 4.02 μB per formula unit. The value obtained for the uncorrected formation energy is -11.8 kcal/mol of atoms. The symmetry is R32.


Density functional theory data (GGA-PBE) for a relaxed structure of LiAcTeAu.

abc: 5.3889 5.3889 5.3889
angles: 60.00 60.00 60.00
With the nearest neighbours (Å) after each atom.
Element x y z (fractional)
Li 0.0000 0.0000 0.0000  4 Te 3.30, 4 Au 3.30
Ac 0.5000 0.5000 0.5000  4 Te 3.30, 4 Au 3.30
Te 0.2500 0.2500 0.2500  4 Ac 3.30, 4 Li 3.30
Au 0.7500 0.7500 0.7500  4 Ac 3.30, 4 Li 3.30

Calculated values
The total moment comes out at 0.00 μB per formula unit. The value obtained for the uncorrected formation energy is -18.9 kcal/mol of atoms. The symmetry is F-43m.


Density functional theory data (GGA-PBE) for a relaxed structure of Tb7Nd2.

abc: 6.2144 6.2144 8.7741
angles: 90.00 90.00 120.00
With the nearest neighbours (Å) after each atom.
Element x y z (fractional)
Nd 0.3333 0.6667 0.0000  3 Nd 3.59, 9 Tb 3.59-3.60
Tb 0.3325 0.0000 0.6643  10 Tb 3.55-3.60, 2 Nd 3.60
Nd 0.6667 0.3333 0.0000  3 Nd 3.59, 9 Tb 3.59-3.60
Tb 0.6675 0.0000 0.3357  10 Tb 3.55-3.60, 2 Nd 3.60
Tb 0.0000 0.0000 0.0000  6 Nd 3.59, 6 Tb 3.60
Tb 0.0000 0.3325 0.6643  10 Tb 3.55-3.60, 2 Nd 3.60
Tb 0.0000 0.6675 0.3357  10 Tb 3.55-3.60, 2 Nd 3.60
Tb 0.3325 0.3325 0.3357  10 Tb 3.55-3.60, 2 Nd 3.60
Tb 0.6675 0.6675 0.6643  10 Tb 3.55-3.60, 2 Nd 3.60

Calculated values
The total moment comes out at 0.00 μB per formula unit. Its formation energy is 0.02 eV/atom. The symmetry is P-31m.


Density functional theory data (GGA-PBE) for a relaxed structure of DyHf2Tl.

abc: 3.1705 3.1705 11.7319
angles: 82.23 82.23 60.00
With the nearest neighbours (Å) after each atom.
Element x y z (fractional)
Dy 0.0000 0.0000 0.0000  6 Dy 3.17, 2 Hf 3.18
Hf 0.0916 0.0916 0.7252  6 Hf 3.17, 1 Dy 3.18, 3 Tl 3.19
Tl 0.5000 0.5000 0.5000  6 Tl 3.17, 6 Hf 3.19
Hf 0.9084 0.9084 0.2748  6 Hf 3.17, 1 Dy 3.18, 3 Tl 3.19

Calculated values
The total moment comes out at 0.00 μB per formula unit. Its formation energy is 0.40 eV/atom. The symmetry is R-3m.


Density functional theory data (GGA-PBE) for a relaxed structure of La4Pr3Sn4.

abc: 3.8472 9.6414 11.0253
angles: 115.93 100.05 90.00
With the nearest neighbours (Å) after each atom.
Element x y z (fractional)
La 0.6667 0.4973 0.3335  1 La 3.27, 4 Sn 3.32-3.40
Sn 0.2779 0.7779 0.5559  2 Pr 3.21, 6 La 3.32-3.36
Sn 0.5000 0.2253 0.0000  6 Pr 3.27-3.39, 2 La 3.40
Sn 0.7221 0.2221 0.4441  2 Pr 3.21, 6 La 3.32-3.36
Pr 0.0898 0.0898 0.1797  6 Sn 3.21-3.39, 1 Pr 3.50
La 0.6667 0.8361 0.3335  1 La 3.27, 4 Sn 3.32-3.40
Pr 0.9102 0.9102 0.8203  6 Sn 3.21-3.39, 1 Pr 3.50
Pr 0.0000 0.5000 0.0000  4 Sn 3.27
Sn 0.5000 0.7747 0.0000  6 Pr 3.27-3.39, 2 La 3.40
La 0.3333 0.5027 0.6665  1 La 3.27, 4 Sn 3.32-3.40
La 0.3333 0.1639 0.6665  1 La 3.27, 4 Sn 3.32-3.40

Calculated values
The total moment comes out at 0.00 μB per formula unit. Its formation energy is -0.60 eV/atom. The symmetry is Immm.


Density functional theory data (GGA-PBE) for a relaxed structure of Be3RuRh2.

abc: 2.7817 2.7817 8.3934
angles: 90.00 90.00 90.00
With the nearest neighbours (Å) after each atom.
Element x y z (fractional)
Rh 0.5000 0.5000 0.8336  8 Be 2.38-2.41
Be 0.0000 0.0000 0.0000  8 Rh 2.41
Be 0.0000 0.0000 0.6730  4 Rh 2.38, 4 Ru 2.44
Be 0.0000 0.0000 0.3270  4 Rh 2.38, 4 Ru 2.44
Rh 0.5000 0.5000 0.1664  8 Be 2.38-2.41
Ru 0.5000 0.5000 0.5000  8 Be 2.44

Calculated values
The total moment comes out at 0.00 μB per formula unit. Its formation energy is -0.47 eV/atom. The symmetry is P4/mmm.


Density functional theory data (GGA-PBE) for a relaxed structure of PmSmHo2.

abc: 3.6001 3.6001 11.7821
angles: 81.21 81.21 60.00
With the nearest neighbours (Å) after each atom.
Element x y z (fractional)
Ho 0.2503 0.2503 0.2491  3 Sm 3.55, 3 Pm 3.56, 6 Ho 3.60
Sm 0.6665 0.6665 0.0005  6 Ho 3.55-3.56, 6 Sm 3.60
Ho 0.0828 0.0828 0.7517  3 Sm 3.56, 3 Pm 3.60, 6 Ho 3.60
Pm 0.5004 0.5004 0.4987  6 Ho 3.56-3.60, 6 Pm 3.60

Calculated values
The total moment comes out at 0.00 μB per formula unit. Its formation energy is 0.02 eV/atom. The symmetry is R3m.


Density functional theory data (GGA-PBE) for a relaxed structure of BaTiSi3.

abc: 5.3679 5.3679 5.3679
angles: 90.00 90.00 90.00
With the nearest neighbours (Å) after each atom.
Element x y z (fractional)
Ba 0.0000 0.0000 0.0000  6 Si 2.68
Si 0.0000 0.5000 0.0000  2 Ba 2.68
Ti 0.5000 0.5000 0.5000  12 Si 3.80
Si 0.5000 0.0000 0.0000  2 Ba 2.68
Si 0.0000 0.0000 0.5000  2 Ba 2.68

Calculated values
The total moment comes out at 0.11 μB per formula unit. The value obtained for the uncorrected formation energy is 46.9 kcal/mol of atoms. The symmetry is Pm-3m.


Density functional theory data (GGA-PBE) for a relaxed structure of BeSeBr3.

abc: 4.8445 4.8445 4.8445
angles: 90.00 90.00 90.00
With the nearest neighbours (Å) after each atom.
Element x y z (fractional)
Br 0.0000 0.0000 0.5000  2 Be 2.42
Be 0.0000 0.0000 0.0000  6 Br 2.42
Br 0.5000 0.0000 0.0000  2 Be 2.42
Se 0.5000 0.5000 0.5000  12 Br 3.43
Br 0.0000 0.5000 0.0000  2 Be 2.42

Calculated values
The total moment comes out at 1.10 μB per formula unit. The value obtained for the uncorrected formation energy is 3.4 kcal/mol of atoms. The symmetry is Pm-3m.


Density functional theory data (GGA-PBE) for a relaxed structure of MgFeTe2N.

abc: 5.5646 5.5646 3.8330
angles: 90.00 90.00 90.00
With the nearest neighbours (Å) after each atom.
Element x y z (fractional)
Mg 0.0000 0.0000 0.0000  2 N 1.92
Te 0.0000 0.5000 0.0000  2 Mg 2.78
Fe 0.5000 0.5000 0.5000  8 Te 3.38
N 0.0000 0.0000 0.5000  2 Mg 1.92
Te 0.5000 0.0000 0.0000  2 Mg 2.78

Calculated values
The total moment comes out at 5.12 μB per formula unit. The value obtained for the uncorrected formation energy is 22.9 kcal/mol of atoms. The symmetry is P4/mmm.


Density functional theory data (GGA-PBE) for a relaxed structure of K3Rb2Ge2Au4.

abc: 5.3480 5.3480 13.7325
angles: 101.23 101.23 90.00
With the nearest neighbours (Å) after each atom.
Element x y z (fractional)
Ge 0.5508 0.5508 0.1016  1 Ge 2.68, 4 Au 2.72
Ge 0.4492 0.4492 0.8984  1 Ge 2.68, 4 Au 2.72
Au 0.0702 0.5701 0.1403  2 Ge 2.72
K 0.8581 0.8581 0.7162  4 Au 3.28
Au 0.5702 0.0701 0.1403  2 Ge 2.72
Au 0.9298 0.4299 0.8597  2 Ge 2.72
Rb 0.6812 0.6812 0.3624  1 Ge 3.44
Au 0.4298 0.9299 0.8597  2 Ge 2.72
K 0.0000 0.0000 0.0000  8 Au 3.25
Rb 0.3188 0.3188 0.6376  1 Ge 3.44
K 0.1419 0.1419 0.2838  4 Au 3.28

Calculated values
The total moment comes out at 0.00 μB per formula unit. Its formation energy is -0.17 eV/atom. The symmetry is I4/mmm.


Density functional theory data (GGA-PBE) for a relaxed structure of TaAlRu2.

abc: 2.7581 2.7581 8.7760
angles: 90.00 90.00 113.03
With the nearest neighbours (Å) after each atom.
Element x y z (fractional)
Ru 0.0000 0.0000 0.9915  2 Al 2.50, 6 Ru 2.70-2.76
Al 0.5000 0.5000 0.7658  2 Ru 2.50, 4 Al 2.76
Ta 0.0000 0.0000 0.4974  2 Ru 2.68, 4 Ta 2.76, 2 Al 2.80
Ru 0.5000 0.5000 0.2453  2 Ta 2.68, 6 Ru 2.70-2.76

Calculated values
The total moment comes out at 0.00 μB per formula unit. Its formation energy is 0.05 eV/atom. The symmetry is Cmm2.


Density functional theory data (GGA-PBE) for a relaxed structure of Na2Li3RuO6.

abc: 5.6049 5.6049 5.1082
angles: 99.68 99.68 121.65
With the nearest neighbours (Å) after each atom.
Element x y z (fractional)
Na 0.6709 0.3291 0.0000  6 O 2.31-2.33
Na 0.3291 0.6709 0.0000  6 O 2.31-2.33
Li 0.1423 0.8577 0.5000  4 O 2.03-2.04
Li 0.5000 0.5000 0.5000  4 O 2.13
O 0.6477 0.9223 0.7576  1 Ru 1.93, 2 Li 2.04-2.13
O 0.2156 0.2156 0.7695  1 Ru 1.93, 2 Li 2.03
O 0.0777 0.3523 0.2424  1 Ru 1.93, 2 Li 2.04-2.13
Li 0.8577 0.1423 0.5000  4 O 2.03-2.04
Ru 0.0000 0.0000 0.0000  6 O 1.93
O 0.9223 0.6477 0.7576  1 Ru 1.93, 2 Li 2.04-2.13
O 0.3523 0.0777 0.2424  1 Ru 1.93, 2 Li 2.04-2.13
O 0.7844 0.7844 0.2305  1 Ru 1.93, 2 Li 2.03

Calculated values
The total moment comes out at 1.04 μB per formula unit. The value obtained for the uncorrected formation energy is -32.6 kcal/mol of atoms. The symmetry is C2/m.